No. 1
Density functional theory data (GGA-PBE) for a relaxed structure of Ac3HgAu2.

Summary:
DFT total energy (eV per atom): -3.880
Energy relative to the elements (eV/f.u.): -4.10

```
Ac3HgAu2
1.0
3.960 0.000 0.000
0.000 3.960 0.000
0.000 0.000 11.856
Au Ac Hg
2 3 1
Direct
0.500 0.500 0.835
0.500 0.500 0.165
0.000 0.000 0.676
0.000 0.000 0.000
0.000 0.000 0.324
0.500 0.500 0.500
```


No. 2
Density functional theory data (GGA-PBE) for a relaxed structure of AcAgSnP.

Summary:
DFT total energy (eV per atom): -4.440
Energy relative to the elements (eV/f.u.): -1.39

```
AcAgSnP
1.0
5.211 0.000 0.000
2.606 4.513 0.000
2.606 1.504 4.255
Ac Sn Ag P
1 1 1 1
Direct
0.250 0.250 0.250
0.750 0.750 0.750
0.500 0.500 0.500
0.000 0.000 0.000
```


No. 3
Density functional theory data (GGA-PBE) for a relaxed structure of KSe3.

Summary:
Formation energy from raw total energies (eV/atom): -0.14
DFT total energy (eV per atom): -3.028

```
KSe3
1.0
4.112 0.000 0.000
0.000 3.628 0.000
0.000 0.000 7.639
Se K
3 1
Direct
0.500 0.000 0.565
0.000 0.000 0.956
0.500 0.500 0.819
0.000 0.500 0.326
```


No. 4
Density functional theory data (GGA-PBE) for a relaxed structure of KInBr3.

Summary:
Formation energy from raw total energies (eV/atom): -0.56
DFT total energy (eV per atom): -2.333

```
KInBr3
1.0
6.125 0.000 0.000
0.000 6.125 0.000
0.000 0.000 6.125
Br In K
3 1 1
Direct
0.000 0.000 0.500
0.000 0.500 0.000
0.500 0.000 0.000
0.500 0.500 0.500
0.000 0.000 0.000
```


No. 5
Density functional theory data (GGA-PBE) for a relaxed structure of Pm2AlCdO6.

Summary:
Formation energy from raw total energies (eV/atom): -2.44
DFT total energy (eV per atom): -6.832

```
Pm2AlCdO6
1.0
5.145 0.000 0.000
0.000 5.244 0.000
0.000 0.000 5.244
Cd O Pm Al
1 6 2 1
Direct
0.549 0.500 0.500
0.133 0.500 0.500
0.730 0.769 0.231
0.730 0.231 0.231
0.730 0.231 0.769
0.730 0.769 0.769
0.237 0.000 0.000
0.011 0.500 0.000
0.011 0.000 0.500
0.586 0.000 0.000
```


No. 6
Density functional theory data (GGA-PBE) for a relaxed structure of Cs2CdBAs.

Summary:
DFT total energy (eV per atom): -2.469
Energy relative to the elements (eV/f.u.): 1.60

```
Cs2CdBAs
1.0
6.899 0.000 0.000
0.000 4.091 0.000
0.000 0.000 6.899
Cs B Cd As
2 1 1 1
Direct
0.000 0.000 0.500
0.500 0.000 0.000
0.000 0.000 0.000
0.500 0.500 0.500
0.000 0.500 0.000
```


No. 7
Density functional theory data (GGA-PBE) for a relaxed structure of DyPuCoTc.

Summary:
DFT total energy (eV per atom): -9.085
Energy relative to the elements (eV/f.u.): 0.07

```
DyPuCoTc
1.0
4.753 0.000 0.000
2.376 4.116 0.000
2.376 1.372 3.881
Tc Co Dy Pu
1 1 1 1
Direct
0.750 0.750 0.750
0.250 0.250 0.250
0.000 0.000 0.000
0.500 0.500 0.500
```


No. 8
Density functional theory data (GGA-PBE) for a relaxed structure of Ac4RhAu2Br.

Summary:
Formation energy from raw total energies (eV/atom): -0.90
DFT total energy (eV per atom): -4.901

```
Ac4RhAu2Br
1.0
4.487 0.000 0.000
0.000 8.070 0.270
0.000 -2.691 7.244
Ac Au Br Rh
4 2 1 1
Direct
0.000 0.719 0.237
0.500 0.280 0.251
0.000 0.281 0.763
0.500 0.720 0.749
0.000 0.500 0.500
0.500 0.000 0.500
0.000 0.000 0.000
0.500 0.500 0.000
```


No. 9
Density functional theory data (GGA-PBE) for a relaxed structure of Al2ZnAg5.

Summary:
DFT total energy (eV per atom): -2.918
Energy relative to the elements (eV/f.u.): -0.33

```
Al2ZnAg5
1.0
4.438 0.000 0.000
0.000 5.660 0.000
0.000 0.000 10.690
Ag Al Zn
10 4 2
Direct
0.000 0.870 0.741
0.500 0.842 0.384
0.500 0.342 0.116
0.000 0.500 0.500
0.500 0.658 0.884
0.000 0.130 0.259
0.000 0.630 0.241
0.000 0.000 0.000
0.000 0.370 0.759
0.500 0.158 0.616
0.500 0.345 0.373
0.500 0.845 0.127
0.500 0.655 0.627
0.500 0.155 0.873
0.000 0.500 0.000
0.000 0.000 0.500
```


No. 10
Density functional theory data (GGA-PBE) for a relaxed structure of CaUTl2Se4.

Summary:
Formation energy from raw total energies (eV/atom): -1.11
DFT total energy (eV per atom): -5.106

```
CaUTl2Se4
1.0
-0.448 0.359 -4.211
6.320 -3.558 -0.975
-5.907 -5.548 0.156
Ca Tl Se U
1 2 4 1
Direct
0.500 0.500 0.000
0.000 0.500 0.500
0.500 0.000 0.500
0.500 0.222 0.204
0.000 0.751 0.205
0.000 0.249 0.795
0.500 0.778 0.796
0.000 0.000 0.000
```


No. 11
Density functional theory data (GGA-PBE) for a relaxed structure of Ac6Hg3Ru2Rh.

Summary:
DFT total energy (eV per atom): -4.677
Energy relative to the elements (eV/f.u.): -4.66

```
Ac6Hg3Ru2Rh
1.0
-0.851 7.357 0.333
-1.818 -4.215 5.822
8.638 -0.288 0.915
Hg Rh Ru Ac
3 1 2 6
Direct
0.838 0.162 0.500
0.500 0.500 0.500
0.162 0.838 0.500
0.000 0.000 0.000
0.332 0.668 0.000
0.668 0.332 0.000
0.273 0.273 0.806
0.727 0.727 0.194
0.597 0.934 0.803
0.403 0.066 0.197
0.066 0.403 0.197
0.934 0.597 0.803
```


No. 12
Density functional theory data (GGA-PBE) for a relaxed structure of BaMnH2.

Summary:
DFT total energy (eV per atom): -4.395

```
BaMnH2
1.0
-1.263 -4.624 -3.150
5.465 -1.710 0.320
1.339 -5.033 1.629
Mn H Ba
2 4 2
Direct
0.500 0.500 0.000
0.250 0.750 0.500
0.481 0.125 0.250
0.269 0.625 0.250
0.875 0.731 0.750
0.375 0.519 0.750
0.750 0.250 0.500
0.000 0.000 0.000
```


no.,DOS(E_F) (states/eV/cell)
1,3.1
2,1.9
3,1.6
4,10.0
5,6.1
6,4.4
7,5.9
8,5.7
9,3.8
10,4.3
11,6.8
12,4.4